1.
A geometry-optimized Zn2TeSe structure. Source: the Alexandria database, functional PBE.

Properties
Final energy (eV/cell): -11.42
Polymorph energy (0 for the lowest one) (meV/atom): 15
Formation energy (no corrections) (eV/atom): -0.56
Space-group type: R3m

POSCAR file:
```
Zn2TeSe
1.0
-0.7624 -2.1617 -6.9293
2.0928 -4.7183 -5.1603
-2.0244 -5.3762 -4.5020
Zn Se Te
2 1 1
Cartesian
-0.3504 -6.1880 -8.3769 Zn
-0.6905 -12.1938 -16.5071 Zn
-0.6071 -10.7203 -14.5124 Se
-0.2606 -4.6025 -6.2305 Te
```



2.
A geometry-optimized ZnTe2Se structure. Source: the Alexandria database, functional PBE.

Properties
Final energy (eV/cell): -10.13
Formation energy (no corrections) (eV/atom): 0.23
Space-group type: I4/mmm

POSCAR file:
```
ZnTe2Se
1.0
8.9343 0.1289 0.0000
7.0299 5.5154 0.0000
-7.9821 -2.8221 2.8567
Te Se Zn
2 1 1
Cartesian
7.9821 2.8221 0.0000 Te
0.0000 0.0000 0.0000 Te
4.4672 0.0644 1.4283 Se
3.5149 2.7577 1.4283 Zn
```



3.
A geometry-optimized ZnTe2Se structure. Source: the Alexandria database, functional PBE.

Properties
Final energy (eV/cell): -11.05
Formation energy (no corrections) (eV/atom): 0.00
Space-group type: Cmmm

POSCAR file:
```
ZnTe2Se
1.0
-2.1804 0.3868 3.4704
-4.0354 -2.1998 -2.2902
0.2539 -5.0771 0.7254
Te Se Zn
2 1 1
Cartesian
-0.0767 -0.1470 -0.0318 Te
-1.8141 -3.4914 -0.7506 Te
-3.9264 -5.2643 0.5616 Se
-2.0356 -1.6258 1.3440 Zn
```



4.
A geometry-optimized Zn2TeSe structure. Source: the Alexandria database, functional PBE.

Properties
Final energy (eV/cell): -10.45
Polymorph energy (0 for the lowest one) (meV/atom): 259
Formation energy (no corrections) (eV/atom): -0.32
Space-group type: P4mm

POSCAR file:
```
Zn2TeSe
1.0
-0.8183 2.3576 2.8254
-3.4658 0.4788 -1.4034
-2.1538 -5.0551 3.5942
Te Zn Se
1 2 1
Cartesian
-3.9080 -2.7265 3.6579 Te
-2.0417 -4.7920 3.4072 Zn
-3.0227 -0.6486 2.1805 Zn
-0.6962 -1.6341 1.1619 Se
```



5.
A geometry-optimized Zn2TeSe structure. Source: the Alexandria database, functional PBE.

Properties
Final energy (eV/cell): -10.44
Polymorph energy (0 for the lowest one) (meV/atom): 260
Formation energy (no corrections) (eV/atom): -0.32
Space-group type: R3m

POSCAR file:
```
Zn2TeSe
1.0
-5.9063 7.0055 4.5449
-7.1732 3.4394 6.4291
-3.7221 5.4508 7.8136
Zn Te Se
2 1 1
Cartesian
-0.5161 0.4883 0.5771 Zn
-3.4633 3.2765 3.8727 Zn
-12.0852 11.4335 13.5138 Te
-9.1378 8.6450 10.2179 Se
```



6.
A geometry-optimized Zn4TeSe structure. Source: the Alexandria database, functional PBE.

Properties
Final energy (eV/cell): -10.51
Formation energy (no corrections) (eV/atom): 0.20
Space-group type: F-43m

POSCAR file:
```
Zn4TeSe
1.0
3.2942 1.8720 3.9176
-2.1073 2.4004 4.4160
0.1990 -2.5205 4.8282
Zn Se Te
4 1 1
Cartesian
-0.5267 1.8514 7.1404 Zn
0.6196 -0.5945 7.3453 Zn
0.5207 0.6583 4.9454 Zn
2.1581 1.5888 6.8927 Zn
1.0394 1.3140 9.8714 Se
0.0000 0.0000 0.0000 Te
```



7.
A geometry-optimized ZnTe2Se structure. Source: the Alexandria database, functional PBE.

Properties
Final energy (eV/cell): -11.22
Formation energy (no corrections) (eV/atom): -0.05
Space-group type: Cm

POSCAR file:
```
ZnTe2Se
1.0
6.5630 -0.0020 -0.0405
5.2251 3.9713 -0.0405
-1.3128 -0.4420 3.9563
Se Te Zn
1 2 1
Cartesian
2.7366 0.9215 1.0149 Se
0.0097 0.0033 0.0041 Te
7.8176 2.6323 2.8951 Te
5.1491 1.7338 1.8990 Zn
```



8.
A geometry-optimized Zn2TeSe structure. Source: the Alexandria database, functional PBE.

Properties
Final energy (eV/cell): -9.31
Polymorph energy (0 for the lowest one) (meV/atom): 542
Formation energy (no corrections) (eV/atom): -0.04
Space-group type: I-4m2

POSCAR file:
```
Zn2TeSe
1.0
10.0458 0.7595 0.0000
8.2837 5.7336 0.0000
-9.1647 -3.2466 2.6385
Zn Se Te
2 1 1
Cartesian
0.0000 0.0000 0.0000 Zn
4.1419 2.8668 1.3192 Zn
9.1648 3.2466 0.0000 Se
5.0229 0.3798 1.3192 Te
```



9.
A geometry-optimized ZnTe2Se structure. Source: the Alexandria database, functional PBE.

Properties
Final energy (eV/cell): -10.49
Formation energy (no corrections) (eV/atom): 0.14
Space-group type: Cmmm

POSCAR file:
```
ZnTe2Se
1.0
4.4366 -0.0887 0.0000
-2.5837 3.6078 0.0000
0.0000 0.0000 7.7790
Te Se Zn
2 1 1
Cartesian
0.0000 0.0000 0.0786 Te
0.0000 0.0000 3.8109 Te
0.9265 1.7595 5.8342 Se
0.9265 1.7595 1.9447 Zn
```



10.
A geometry-optimized Zn2TeSe structure. Source: the Alexandria database, functional PBE.

Properties
Final energy (eV/cell): -8.43
Polymorph energy (0 for the lowest one) (meV/atom): 764
Formation energy (no corrections) (eV/atom): 0.19
Space-group type: Fm-3m

POSCAR file:
```
Zn2TeSe
1.0
0.0000 3.4741 3.4741
3.4741 0.0000 3.4741
3.4741 3.4741 0.0000
Zn Se Te
2 1 1
Cartesian
5.2112 5.2112 5.2112 Zn
1.7371 1.7371 1.7371 Zn
0.0000 0.0000 0.0000 Se
3.4741 3.4741 3.4741 Te
```



11.
A geometry-optimized Zn4TeSe3 structure. Source: the Alexandria database, functional PBE.

Properties
Final energy (eV/cell): -23.74
Formation energy (no corrections) (eV/atom): -0.63
Space-group type: R3m

POSCAR file:
```
Zn4TeSe3
1.0
-1.1457 -3.9670 0.2681
2.6504 -2.8252 1.4546
-4.0664 -0.0980 13.1038
Se Te Zn
3 1 4
Cartesian
-1.2821 -3.4445 7.4166 Se
-1.8874 -5.1837 11.0271 Se
-0.6767 -1.7054 3.8061 Se
-4.0597 -0.1012 13.0856 Te
-3.1581 -0.5287 10.6125 Zn
0.1594 -2.1018 1.5126 Zn
-0.4410 -3.8433 5.1096 Zn
-1.0464 -5.5825 8.7201 Zn
```



12.
A geometry-optimized ZnTe2Se structure. Source: the Alexandria database, functional PBE.

Properties
Final energy (eV/cell): -11.12
Formation energy (no corrections) (eV/atom): -0.02
Space-group type: Amm2

POSCAR file:
```
ZnTe2Se
1.0
4.0507 0.0000 0.0000
0.0000 5.1843 -0.0098
0.0000 1.8826 4.8321
Zn Se Te
1 1 2
Cartesian
0.0000 3.6486 2.4903 Zn
2.0254 5.0474 3.4436 Se
2.0254 1.9123 1.3045 Te
0.0000 7.0591 4.8174 Te
```